Density functional theory data (SCAN) for a PBEsol-optimized structure of CsCaB2C.

Unit cell a=3.929 b=3.929 c=4.886 alpha=90.00 beta=90.00 gamma=90.00
Fractional positions:
1 C 0.000 0.000 0.000
2 B 0.500 0.000 0.000
3 B 0.000 0.500 0.000
4 Cs 0.500 0.500 0.500
5 Ca 0.000 0.000 0.500

Summary:
The value obtained for the size of the total moment is 0.00 μB per atom. For the energy of formation from the pure elements, the calculation gives 1.917 eV/atom. The value obtained for the volume is 75.4 Å³/cell. The value obtained for the total energy is -62.8 eV per cell.